The following is a DFT calculation (PBE) of an optimized crystal structure of Sm3ZrAs4.

Energy of formation from the pure elements   -1.415 eV per atom
DOS at the Fermi energy   1.45 states/eV/cell
Magnetization   0.000 μB per formula unit
VASP energy   -0.2417 hartree per atom

abc: 7.1315 7.1315 4.1164
angles: 90.00 90.00 109.28
Closest atoms and distances in Å follow each position.
Element x y z (fractional)
Sm1 0.0000 0.0000 0.0000  6 As 3.00
Sm2 0.0000 0.5000 0.5000  6 As 2.91-2.92
Sm3 0.5000 0.0000 0.5000  6 As 2.91-2.92
Zr1 0.5000 0.5000 0.0000  6 As 2.82-2.83
As1 0.2578 0.7422 0.0000  1 Zr 2.82, 5 Sm 2.92-3.00
As2 0.2644 0.2644 0.5000  2 Zr 2.83, 4 Sm 2.91-3.00
As3 0.7356 0.7356 0.5000  2 Zr 2.83, 4 Sm 2.91-3.00
As4 0.7422 0.2578 0.0000  1 Zr 2.82, 5 Sm 2.92-3.00



The following is a DFT calculation (PBE) of an optimized crystal structure of Sm4ZrAs5.

Energy of formation from the pure elements   -1.430 eV per atom
DOS at the Fermi energy   2.29 states/eV/cell
Magnetization   0.000 μB per formula unit
VASP energy   -0.2388 hartree per atom

abc: 7.1636 7.1636 7.1636
angles: 99.65 99.65 131.66
Closest atoms and distances in Å follow each position.
Element x y z (fractional)
Sm1 0.0963 0.3005 0.3968  6 As 2.92-3.00
Sm2 0.3005 0.9037 0.2041  6 As 2.92-3.00
Sm3 0.6995 0.0963 0.7959  6 As 2.92-3.00
Sm4 0.9037 0.6995 0.6032  6 As 2.92-3.00
Zr1 0.5000 0.5000 0.0000  6 As 2.81-2.93
As1 0.0000 0.0000 0.0000  4 Sm 2.92, 2 Zr 2.93
As2 0.2119 0.5969 0.8088  1 Zr 2.81, 5 Sm 2.94-3.00
As3 0.4031 0.2119 0.6150  1 Zr 2.81, 5 Sm 2.94-3.00
As4 0.5969 0.7881 0.3850  1 Zr 2.81, 5 Sm 2.94-3.00
As5 0.7881 0.4031 0.1912  1 Zr 2.81, 5 Sm 2.94-3.00



The following is a DFT calculation (PBE) of an optimized crystal structure of Sn5As4.

Energy of formation from the pure elements   0.086 eV per atom
DOS at the Fermi energy   4.02 states/eV/cell
Magnetization   0.000 μB per formula unit
VASP energy   -0.1545 hartree per atom

abc: 8.3956 8.3956 8.3956
angles: 93.19 93.19 152.69
Closest atoms and distances in Å follow each position.
Element x y z (fractional)
Sn1 0.0000 0.0000 0.0000  4 As 2.93
Sn2 0.2775 0.3897 0.6671  5 As 2.83-3.00
Sn3 0.3897 0.7225 0.1122  5 As 2.83-3.00
Sn4 0.6103 0.2775 0.8878  5 As 2.83-3.00
Sn5 0.7225 0.6103 0.3329  5 As 2.83-3.00
As1 0.0841 0.2392 0.3234  6 Sn 2.83-3.00
As2 0.2392 0.9159 0.1551  6 Sn 2.83-3.00
As3 0.7608 0.0841 0.8449  6 Sn 2.83-3.00
As4 0.9159 0.7608 0.6766  6 Sn 2.83-3.00



The following is a DFT calculation (PBE) of an optimized crystal structure of SnAs3.

Energy of formation from the pure elements   0.350 eV per atom
DOS at the Fermi energy   1.71 states/eV/cell
Magnetization   0.000 μB per formula unit
VASP energy   -0.1521 hartree per atom

abc: 6.1174 6.1174 6.1174
angles: 141.62 141.62 55.41
Closest atoms and distances in Å follow each position.
Element x y z (fractional)
Sn1 0.0000 0.0000 0.0000  4 As 2.84
As1 0.2500 0.7500 0.5000  4 As 2.84
As2 0.5000 0.5000 0.0000  4 Sn 2.84
As3 0.7500 0.2500 0.5000  4 As 2.84



The following is a DFT calculation (PBE) of an optimized crystal structure of Sn5As6.

Energy of formation from the pure elements   0.048 eV per atom
DOS at the Fermi energy   5.97 states/eV/cell
Magnetization   0.000 μB per formula unit
VASP energy   -0.1583 hartree per atom

abc: 6.9972 6.9972 6.9972
angles: 99.79 99.79 119.59
Closest atoms and distances in Å follow each position.
Element x y z (fractional)
Sn1 0.0000 0.0000 0.0000  6 As 2.78-2.86
Sn2 0.1646 0.8354 0.5000  6 As 2.85-2.86
Sn3 0.3217 0.6783 0.0000  6 As 2.77-2.94
Sn4 0.6783 0.3217 0.0000  6 As 2.77-2.94
Sn5 0.8354 0.1646 0.5000  6 As 2.85-2.86
As1 0.0844 0.4172 0.2526  5 Sn 2.77-2.88
As2 0.2454 0.2454 0.7604  5 Sn 2.78-2.94
As3 0.4172 0.0844 0.2526  5 Sn 2.77-2.88
As4 0.5828 0.9156 0.7474  5 Sn 2.77-2.88
As5 0.7546 0.7546 0.2396  5 Sn 2.78-2.94
As6 0.9156 0.5828 0.7474  5 Sn 2.77-2.88



The following is a DFT calculation (PBE) of an optimized crystal structure of SnAs3.

Energy of formation from the pure elements   0.383 eV per atom
DOS at the Fermi energy   4.24 states/eV/cell
Magnetization   0.000 μB per formula unit
VASP energy   -0.1508 hartree per atom

abc: 4.9107 4.9107 4.9107
angles: 60.00 60.00 60.00
Closest atoms and distances in Å follow each position.
Element x y z (fractional)
Sn1 0.0000 0.0000 0.0000  8 As 3.01
As1 0.2500 0.2500 0.2500  4 As 3.01, 4 Sn 3.01
As2 0.5000 0.5000 0.5000  8 As 3.01
As3 0.7500 0.7500 0.7500  4 As 3.01, 4 Sn 3.01



The following is a DFT calculation (PBE) of an optimized crystal structure of Sn3As4.

Energy of formation from the pure elements   -0.042 eV per atom
DOS at the Fermi energy   0.21 states/eV/cell
Magnetization   0.000 μB per formula unit
VASP energy   -0.1622 hartree per atom

abc: 5.8567 5.8567 5.8567
angles: 90.00 90.00 90.00
Closest atoms and distances in Å follow each position.
Element x y z (fractional)
Sn1 0.0000 0.0000 0.5000  4 As 2.68
Sn2 0.0000 0.5000 0.0000  4 As 2.68
Sn3 0.5000 0.0000 0.0000  4 As 2.68
As1 0.2871 0.2871 0.7129  3 Sn 2.68
As2 0.2871 0.7129 0.2871  3 Sn 2.68
As3 0.7129 0.2871 0.2871  3 Sn 2.68
As4 0.7129 0.7129 0.7129  3 Sn 2.68



The following is a DFT calculation (PBE) of an optimized crystal structure of Sn5As.

Energy of formation from the pure elements   0.079 eV per atom
DOS at the Fermi energy   3.35 states/eV/cell
Magnetization   0.000 μB per formula unit
VASP energy   -0.1482 hartree per atom

abc: 8.2160 8.2160 3.8191
angles: 90.00 90.00 142.47
Closest atoms and distances in Å follow each position.
Element x y z (fractional)
Sn1 0.0000 0.0000 0.0000  4 As 3.26, 8 Sn 3.41-3.46
Sn2 0.1818 0.8182 0.5000  10 Sn 3.31-3.41
Sn3 0.3562 0.6438 0.0000  2 As 2.94
Sn4 0.6438 0.3562 0.0000  2 As 2.94
Sn5 0.8182 0.1818 0.5000  10 Sn 3.31-3.41
As1 0.5000 0.5000 0.5000  8 Sn 2.94-3.26